(1)
Density functional theory data (GGA-PBE) for an optimized crystal structure of KTc2W.

Results
For the density of states at the Fermi level, the calculation gives 4.229 states/eV per cell. For the energy relative to the elements, the calculation gives 0.8386 eV/atom. The value obtained for the total energy is -7.86 eV/atom. The calculation puts the energy relative to the lowest polymorph listed for this composition at 125 meV/atom.

Cell and atoms, written as POSCAR:
```
KTc2W
1.0
1.5132 -2.2881 0.0000
1.5132 2.2881 0.0000
0.0000 0.0000 10.5311
K Tc W
1 2 1
Direct
0.0000 0.0000 0.0000
0.0000 0.0000 0.5113
0.5000 0.5000 0.7163
0.5000 0.5000 0.3018
```

---

(2)
Density functional theory data (GGA-PBE) for an optimized crystal structure of KTc2W.

Results
For the density of states at the Fermi level, the calculation gives 5.070 states/eV per cell. For the energy relative to the elements, the calculation gives 1.5674 eV/atom. The value obtained for the total energy is -7.13 eV/atom. The calculation puts the energy relative to the lowest polymorph listed for this composition at 854 meV/atom.

Cell and atoms, written as POSCAR:
```
KTc2W
1.0
0.0000 3.2350 3.2350
3.2350 0.0000 3.2350
3.2350 3.2350 0.0000
K Tc W
1 2 1
Direct
0.0000 0.0000 0.0000
0.5000 0.5000 0.5000
0.7500 0.7500 0.7500
0.2500 0.2500 0.2500
```

---

(3)
Density functional theory data (GGA-PBE) for an optimized crystal structure of KTc2W.

Results
For the density of states at the Fermi level, the calculation gives 3.528 states/eV per cell. For the energy relative to the elements, the calculation gives 0.7742 eV/atom. The value obtained for the total energy is -7.92 eV/atom. The calculation puts the energy relative to the lowest polymorph listed for this composition at 61 meV/atom.

Cell and atoms, written as POSCAR:
```
KTc2W
1.0
1.5227 0.8791 9.7843
-1.5227 0.8791 9.7843
0.0000 -1.7583 9.7843
K Tc W
1 2 1
Direct
0.0000 0.0000 0.0000
0.2310 0.2310 0.2310
0.7690 0.7690 0.7690
0.5000 0.5000 0.5000
```

---

(4)
Density functional theory data (GGA-PBE) for an optimized crystal structure of KTcW.

Results
For the density of states at the Fermi level, the calculation gives 2.635 states/eV per cell. For the energy relative to the elements, the calculation gives 3.3832 eV/atom. The value obtained for the total energy is -4.76 eV/atom. The calculation puts the energy relative to the lowest polymorph listed for this composition at 2848 meV/atom.

Cell and atoms, written as POSCAR:
```
KTcW
1.0
0.0000 3.3521 3.3521
3.3521 0.0000 3.3521
3.3521 3.3521 0.0000
K Tc W
1 1 1
Direct
0.0000 0.0000 0.0000
0.2500 0.2500 0.2500
0.7500 0.7500 0.7500
```

---

(5)
Density functional theory data (GGA-PBE) for an optimized crystal structure of KTc4W.

Results
For the density of states at the Fermi level, the calculation gives 7.392 states/eV per cell. For the energy relative to the elements, the calculation gives 0.9771 eV/atom. The value obtained for the total energy is -8.28 eV/atom.

Cell and atoms, written as POSCAR:
```
KTc4W
1.0
0.0000 3.7157 3.7157
3.7157 0.0000 3.7157
3.7157 3.7157 0.0000
K Tc W
1 4 1
Direct
0.0000 0.0000 0.0000
0.1264 0.6245 0.6245
0.6245 0.1264 0.6245
0.6245 0.6245 0.1264
0.6245 0.6245 0.6245
0.2500 0.2500 0.2500
```

---

(6)
Density functional theory data (GGA-PBE) for an optimized crystal structure of K2TcW.

Results
For the density of states at the Fermi level, the calculation gives 4.618 states/eV per cell. For the energy relative to the elements, the calculation gives 1.5046 eV/atom. The value obtained for the total energy is -4.87 eV/atom. The calculation puts the energy relative to the lowest polymorph listed for this composition at 568 meV/atom.

Cell and atoms, written as POSCAR:
```
K2TcW
1.0
-1.8936 1.8936 6.0289
1.8936 -1.8936 6.0289
1.8936 1.8936 -6.0289
K Tc W
2 1 1
Direct
0.2500 0.7500 0.5000
0.7500 0.2500 0.5000
0.0000 0.0000 0.0000
0.5000 0.5000 0.0000
```

---

(7)
Density functional theory data (GGA-PBE) for an optimized crystal structure of KTc2W.

Results
For the density of states at the Fermi level, the calculation gives 8.766 states/eV per cell. For the energy relative to the elements, the calculation gives 1.7338 eV/atom. The value obtained for the total energy is -6.96 eV/atom. The calculation puts the energy relative to the lowest polymorph listed for this composition at 1020 meV/atom.

Cell and atoms, written as POSCAR:
```
KTc2W
1.0
-2.4998 2.4998 8.5443
2.4998 -2.4998 8.5443
2.4998 2.4998 -8.5443
K Tc W
2 4 2
Direct
0.3750 0.6250 0.7500
0.6250 0.3750 0.2500
0.0000 0.0000 0.0000
0.0000 0.0000 0.5000
0.0000 0.5000 0.0000
0.5000 0.0000 0.5000
0.1250 0.8750 0.2500
0.8750 0.1250 0.7500
```

---

(8)
Density functional theory data (GGA-PBE) for an optimized crystal structure of KTc2W.

Results
For the density of states at the Fermi level, the calculation gives 4.500 states/eV per cell. For the energy relative to the elements, the calculation gives 1.4923 eV/atom. The value obtained for the total energy is -7.20 eV/atom. The calculation puts the energy relative to the lowest polymorph listed for this composition at 779 meV/atom.

Cell and atoms, written as POSCAR:
```
KTc2W
1.0
5.1441 0.0000 0.0000
0.0000 5.1441 0.0000
0.0000 0.0000 2.6744
K Tc W
1 2 1
Direct
0.0000 0.0000 0.0000
0.0000 0.5000 0.5000
0.5000 0.0000 0.5000
0.5000 0.5000 0.0000
```

---

(9)
Density functional theory data (GGA-PBE) for an optimized crystal structure of KTcW.

Results
For the density of states at the Fermi level, the calculation gives 3.324 states/eV per cell. For the energy relative to the elements, the calculation gives 0.9963 eV/atom. The value obtained for the total energy is -7.14 eV/atom. The calculation puts the energy relative to the lowest polymorph listed for this composition at 461 meV/atom.

Cell and atoms, written as POSCAR:
```
KTcW
1.0
3.0957 0.0000 0.0000
-1.5479 2.6810 0.0000
0.0000 0.0000 8.0561
K Tc W
1 1 1
Direct
0.0000 0.0000 0.0000
0.6667 0.3333 0.3868
0.3333 0.6667 0.5995
```

---

(10)
Density functional theory data (GGA-PBE) for an optimized crystal structure of K2TcW.

Results
For the density of states at the Fermi level, the calculation gives 4.189 states/eV per cell. For the energy relative to the elements, the calculation gives 1.8809 eV/atom. The value obtained for the total energy is -4.50 eV/atom. The calculation puts the energy relative to the lowest polymorph listed for this composition at 945 meV/atom.

Cell and atoms, written as POSCAR:
```
K2TcW
1.0
0.0000 3.4886 3.4886
3.4886 0.0000 3.4886
3.4886 3.4886 0.0000
K Tc W
2 1 1
Direct
0.0000 0.0000 0.0000
0.2500 0.2500 0.2500
0.7500 0.7500 0.7500
0.5000 0.5000 0.5000
```

---

(11)
Density functional theory data (GGA-PBE) for an optimized crystal structure of KTcW.

Results
For the density of states at the Fermi level, the calculation gives 2.427 states/eV per cell. For the energy relative to the elements, the calculation gives 0.9673 eV/atom. The value obtained for the total energy is -7.17 eV/atom. The calculation puts the energy relative to the lowest polymorph listed for this composition at 432 meV/atom.

Cell and atoms, written as POSCAR:
```
KTcW
1.0
0.0000 2.3257 8.2071
1.5515 0.0000 8.2071
1.5515 2.3257 0.0000
K Tc W
1 1 1
Direct
0.0000 0.0000 0.0000
0.6800 0.6800 0.3200
0.3062 0.3062 0.6938
```

---

(12)
Density functional theory data (GGA-PBE) for an optimized crystal structure of K2TcW.

Results
For the density of states at the Fermi level, the calculation gives 3.316 states/eV per cell. For the energy relative to the elements, the calculation gives 1.4589 eV/atom. The value obtained for the total energy is -4.92 eV/atom. The calculation puts the energy relative to the lowest polymorph listed for this composition at 523 meV/atom.

Cell and atoms, written as POSCAR:
```
K2TcW
1.0
2.7333 -6.1284 0.0000
2.7333 6.1284 0.0000
-1.0151 0.0000 2.5499
K Tc W
2 1 1
Direct
0.0000 0.5000 0.0000
0.5000 0.0000 0.0000
0.0000 0.0000 0.5000
0.5000 0.5000 0.5000
```

---

(13)
Density functional theory data (GGA-PBE) for an optimized crystal structure of KTc2W.

Results
For the density of states at the Fermi level, the calculation gives 4.416 states/eV per cell. For the energy relative to the elements, the calculation gives 0.8434 eV/atom. The value obtained for the total energy is -7.85 eV/atom. The calculation puts the energy relative to the lowest polymorph listed for this composition at 130 meV/atom.

Cell and atoms, written as POSCAR:
```
KTc2W
1.0
2.8762 0.0000 0.0000
0.0000 3.8689 0.0000
0.0000 0.0000 8.0395
K Tc W
1 2 1
Direct
0.0000 0.0000 0.0000
0.5000 0.5000 0.3492
0.5000 0.5000 0.6508
0.0000 0.0000 0.5000
```

---

(14)
Density functional theory data (GGA-PBE) for an optimized crystal structure of KTc2W.

Results
For the density of states at the Fermi level, the calculation gives 3.836 states/eV per cell. For the energy relative to the elements, the calculation gives 1.3952 eV/atom. The value obtained for the total energy is -7.30 eV/atom. The calculation puts the energy relative to the lowest polymorph listed for this composition at 682 meV/atom.

Cell and atoms, written as POSCAR:
```
KTc2W
1.0
3.0757 -4.5664 0.0000
3.0757 4.5664 0.0000
-0.8238 0.0000 2.4834
K Tc W
1 2 1
Direct
0.0000 0.0000 0.0000
0.0000 0.5000 0.5000
0.5000 0.0000 0.5000
0.5000 0.5000 0.0000
```

---

(15)
Density functional theory data (GGA-PBE) for an optimized crystal structure of KTcW.

Results
For the density of states at the Fermi level, the calculation gives 5.252 states/eV per cell. For the energy relative to the elements, the calculation gives 0.6373 eV/atom. The value obtained for the total energy is -7.50 eV/atom. The calculation puts the energy relative to the lowest polymorph listed for this composition at 102 meV/atom.

Cell and atoms, written as POSCAR:
```
KTcW
1.0
2.9937 0.0000 0.0000
0.0000 4.1426 0.0000
-1.0239 0.0000 12.8815
K Tc W
2 2 2
Direct
0.0000 0.0000 0.0000
0.2664 0.5000 0.3245
0.8355 0.0000 0.5371
0.9019 0.0000 0.7269
0.3547 0.5000 0.5919
0.4233 0.5000 0.7855
```